A | DFT (PBE) results for a relaxed LaAgS2Cl crystal.

V: 33.3 Å³ per atom
magnetic moment: 0.0349 μB per atom

The structure in CIF format:
```
data_LaAgS2Cl
_chemical_formula_sum 'La1 Ag1 S2 Cl1'
_space_group_name_H-M_alt 'P 4/m m m'
_space_group_IT_number 123
_space_group_name_Hall '-P 4 2'
_cell_length_a 5.484
_cell_length_b 5.484
_cell_length_c 5.532
_cell_angle_alpha 90.00
_cell_angle_beta 90.00
_cell_angle_gamma 90.00
loop_
_atom_site_label
_atom_site_type_symbol
_atom_site_fract_x
_atom_site_fract_y
_atom_site_fract_z
La1 La 0.000 0.000 0.000
Ag1 Ag 0.500 0.500 0.500
S1 S 0.000 0.500 0.000
Cl1 Cl 0.000 0.000 0.500
```


B | DFT (PBE) results for a relaxed LaAgS2Cl crystal.

V: 23.4 Å³ per atom
magnetic moment: 0.0309 μB per atom

The structure in CIF format:
```
data_LaAgS2Cl
_chemical_formula_sum 'La1 Ag1 S2 Cl1'
_space_group_name_H-M_alt 'P 4/m m m'
_space_group_IT_number 123
_space_group_name_Hall '-P 4 2'
_cell_length_a 4.918
_cell_length_b 4.918
_cell_length_c 4.827
_cell_angle_alpha 90.00
_cell_angle_beta 90.00
_cell_angle_gamma 90.00
loop_
_atom_site_label
_atom_site_type_symbol
_atom_site_fract_x
_atom_site_fract_y
_atom_site_fract_z
La1 La 0.000 0.000 0.000
Ag1 Ag 0.500 0.500 0.500
S1 S 0.000 0.500 0.500
Cl1 Cl 0.500 0.500 0.000
```


Order of stability, best first: B, A


A | DFT (PBE) results for a relaxed LiAgCl3 crystal.

V: 22.7 Å³ per atom
magnetic moment: 0.0000 μB per atom

The structure in CIF format:
```
data_LiAgCl3
_chemical_formula_sum 'Li4 Ag4 Cl12'
_space_group_name_H-M_alt 'C 1 c 1'
_space_group_IT_number 9
_cell_length_a 10.686
_cell_length_b 7.022
_cell_length_c 6.953
_cell_angle_alpha 90.00
_cell_angle_beta 119.57
_cell_angle_gamma 90.00
loop_
_space_group_symop_operation_xyz
'x,y,z'
'x,-y,z+1/2'
'x+1/2,y+1/2,z'
'x+1/2,-y+1/2,z+1/2'
loop_
_atom_site_label
_atom_site_type_symbol
_atom_site_fract_x
_atom_site_fract_y
_atom_site_fract_z
Li1 Li 0.000 0.218 0.000
Ag1 Ag 0.185 0.257 0.578
Cl1 Cl 0.096 0.404 0.804
Cl2 Cl 0.256 0.126 0.319
Cl3 Cl 0.439 0.381 0.818
```


B | DFT (PBE) results for a relaxed LiAgCl3 crystal.

V: 26.4 Å³ per atom
magnetic moment: 0.1940 μB per atom

The structure in CIF format:
```
data_LiAgCl3
_chemical_formula_sum 'Li3 Ag3 Cl9'
_space_group_name_H-M_alt 'R 3 m'
_space_group_IT_number 160
_space_group_name_Hall 'R 3 -2"'
_cell_length_a 6.8672
_cell_length_b 6.8672
_cell_length_c 9.6770
_cell_angle_alpha 90.00
_cell_angle_beta 90.00
_cell_angle_gamma 120.00
loop_
_atom_site_label
_atom_site_type_symbol
_atom_site_fract_x
_atom_site_fract_y
_atom_site_fract_z
Li1 Li 0.0000 0.0000 0.0000
Ag1 Ag 0.0000 0.0000 0.6762
Cl1 Cl 0.1707 0.3415 0.8254
```


Order of stability, best first: A, B


A | DFT (PBE) results for a relaxed LiAgCl3 crystal.

V: 25.9 Å³ per atom
magnetic moment: 0.0000 μB per atom

The structure in CIF format:
```
data_LiAgCl3
_chemical_formula_sum 'Li1 Ag1 Cl3'
_space_group_name_H-M_alt 'P m -3 m'
_space_group_IT_number 221
_space_group_name_Hall '-P 4 2 3'
_cell_length_a 5.061
_cell_length_b 5.061
_cell_length_c 5.061
_cell_angle_alpha 90.00
_cell_angle_beta 90.00
_cell_angle_gamma 90.00
loop_
_atom_site_label
_atom_site_type_symbol
_atom_site_fract_x
_atom_site_fract_y
_atom_site_fract_z
Li1 Li 0.000 0.000 0.000
Ag1 Ag 0.500 0.500 0.500
Cl1 Cl 0.000 0.500 0.500
```


B | DFT (PBE) results for a relaxed LiAgCl3 crystal.

V: 21.6 Å³ per atom
magnetic moment: 0.1998 μB per atom

The structure in CIF format:
```
data_LiAgCl3
_chemical_formula_sum 'Li1 Ag1 Cl3'
_space_group_name_H-M_alt 'P m -3 m'
_space_group_IT_number 221
_space_group_name_Hall '-P 4 2 3'
_cell_length_a 4.764
_cell_length_b 4.764
_cell_length_c 4.764
_cell_angle_alpha 90.00
_cell_angle_beta 90.00
_cell_angle_gamma 90.00
loop_
_atom_site_label
_atom_site_type_symbol
_atom_site_fract_x
_atom_site_fract_y
_atom_site_fract_z
Li1 Li 0.000 0.000 0.000
Ag1 Ag 0.500 0.500 0.500
Cl1 Cl 0.000 0.000 0.500
```


Order of stability, best first: A, B


A | DFT (PBE) results for a relaxed LiAg4Cl5 crystal.

V: 21.4 Å³ per atom
magnetic moment: 0.0000 μB per atom

The structure in CIF format:
```
data_LiAg4Cl5
_chemical_formula_sum 'Li2 Ag8 Cl10'
_space_group_name_H-M_alt 'I 4/m m m'
_space_group_IT_number 139
_space_group_name_Hall '-I 4 2'
_cell_length_a 3.927
_cell_length_b 3.927
_cell_length_c 27.688
_cell_angle_alpha 90.00
_cell_angle_beta 90.00
_cell_angle_gamma 90.00
loop_
_atom_site_label
_atom_site_type_symbol
_atom_site_fract_x
_atom_site_fract_y
_atom_site_fract_z
Li1 Li 0.000 0.000 0.000
Ag1 Ag 0.000 0.000 0.198
Ag2 Ag 0.000 0.000 0.402
Cl1 Cl 0.000 0.000 0.095
Cl2 Cl 0.000 0.000 0.301
Cl3 Cl 0.000 0.000 0.500
```


B | DFT (PBE) results for a relaxed LiAg4Cl5 crystal.

V: 26.4 Å³ per atom
magnetic moment: 0.0000 μB per atom

The structure in CIF format:
```
data_LiAg4Cl5
_chemical_formula_sum 'Li2 Ag8 Cl10'
_space_group_name_H-M_alt 'P 3 m 1'
_space_group_IT_number 156
_cell_length_a 4.2029
_cell_length_b 4.2029
_cell_length_c 34.5730
_cell_angle_alpha 90.00
_cell_angle_beta 90.00
_cell_angle_gamma 120.00
loop_
_space_group_symop_operation_xyz
'x,y,z'
'-y,x-y,z'
'-x+y,-x,z'
'-y,-x,z'
'-x+y,y,z'
'x,x-y,z'
loop_
_atom_site_label
_atom_site_type_symbol
_atom_site_fract_x
_atom_site_fract_y
_atom_site_fract_z
Li1 Li 0.0000 0.0000 0.0000
Li2 Li 0.0000 0.0000 0.1899
Ag1 Ag 0.0000 0.0000 0.3867
Ag2 Ag 0.0000 0.0000 0.5935
Ag3 Ag 0.0000 0.0000 0.8002
Ag4 Ag 0.3333 0.6667 0.0924
Ag5 Ag 0.3333 0.6667 0.2823
Ag6 Ag 0.3333 0.6667 0.4901
Ag7 Ag 0.3333 0.6667 0.6968
Ag8 Ag 0.3333 0.6667 0.9035
Cl1 Cl 0.0000 0.0000 0.1209
Cl2 Cl 0.0000 0.0000 0.3114
Cl3 Cl 0.0000 0.0000 0.5185
Cl4 Cl 0.0000 0.0000 0.7250
Cl5 Cl 0.0000 0.0000 0.9310
Cl6 Cl 0.3333 0.6667 0.0175
Cl7 Cl 0.3333 0.6667 0.2076
Cl8 Cl 0.3333 0.6667 0.4150
Cl9 Cl 0.3333 0.6667 0.6218
Cl10 Cl 0.3333 0.6667 0.8281
```


Order of stability, best first: B, A